The following is a DFT calculation (PBE) of AlTlS2 after structural relaxation.

abc: 3.687 3.687 7.415
angles: 104.36 104.37 89.98
Element x y z (fractional)
Tl: 0.187 0.015 0.782
S: 0.838 0.670 0.086
S: 0.534 0.365 0.479
Al: 0.936 0.268 0.282

The value obtained for the energy is -4.404 eV/atom. As for the volume: 23.592 Å³ per atom. The energy relative to the elements, uncorrected is -813 meV/atom. For the density, the calculation gives 5.20 g cm⁻³.



The following is a DFT calculation (PBE) of AlTlS2 after structural relaxation.

abc: 8.143 6.772 6.772
angles: 93.62 125.66 54.34
Element x y z (fractional)
Al: 0.250 0.742 0.242
Al: 0.750 0.258 0.758
Tl: 0.250 0.141 0.641
Tl: 0.750 0.859 0.359
S: 0.150 0.132 0.131
S: 0.650 0.369 0.368
S: 0.350 0.631 0.632
S: 0.850 0.868 0.869

The value obtained for the energy is -4.471 eV/atom. As for the volume: 27.971 Å³ per atom. The energy relative to the elements, uncorrected is -880 meV/atom. For the density, the calculation gives 4.39 g cm⁻³.



The following is a DFT calculation (PBE) of AlTlS3 after structural relaxation.

abc: 4.918 6.706 8.436
angles: 90.00 101.06 90.00
Element x y z (fractional)
S: 0.170 0.831 0.084
S: 0.785 0.520 0.334
S: 0.215 0.020 0.666
S: 0.830 0.331 0.916
S: 0.608 0.891 0.687
S: 0.392 0.391 0.313
Al: 0.968 0.017 0.874
Al: 0.032 0.517 0.126
Tl: 0.252 0.491 0.680
Tl: 0.748 0.991 0.320

The value obtained for the energy is -4.299 eV/atom. As for the excess energy over the best structure of this formula in the dataset: 0 meV per atom. As for the volume: 27.306 Å³ per atom. The energy relative to the elements, uncorrected is -601 meV/atom. For the density, the calculation gives 3.98 g cm⁻³.



Number 2 is which compound?
AlTlS2



What did the third record say?
The following is a DFT calculation (PBE) of AlTlS3 after structural relaxation.

abc: 4.918 6.706 8.436
angles: 90.00 101.06 90.00
Element x y z (fractional)
S: 0.170 0.831 0.084
S: 0.785 0.520 0.334
S: 0.215 0.020 0.666
S: 0.830 0.331 0.916
S: 0.608 0.891 0.687
S: 0.392 0.391 0.313
Al: 0.968 0.017 0.874
Al: 0.032 0.517 0.126
Tl: 0.252 0.491 0.680
Tl: 0.748 0.991 0.320

The value obtained for the energy is -4.299 eV/atom. As for the excess energy over the best structure of this formula in the dataset: 0 meV per atom. As for the volume: 27.306 Å³ per atom. The energy relative to the elements, uncorrected is -601 meV/atom. For the density, the calculation gives 3.98 g cm⁻³.